This record from Alexandria via LeMat-Bulk describes a relaxed Tb3YSe4 crystal. The functional is GGA-PBE.

Summary:
Total energy = -6.048 eV per atom
Crystal system = cubic

Cell: 5.790 5.790 5.790 Å, 90.00 90.00 90.00°
Element x y z (fractional)
Tb 0.500 0.000 0.500
Tb 0.000 0.500 0.500
Se 0.000 0.500 0.000
Tb 0.500 0.500 0.000
Y 0.000 0.000 0.000
Se 0.500 0.500 0.500
Se 0.000 0.000 0.500
Se 0.500 0.000 0.000

This record from Alexandria via LeMat-Bulk describes a relaxed Cs5ZnSb2 crystal. The functional is GGA-PBE.

Summary:
Total energy = -2.066 eV per atom
Crystal system = hexagonal

Cell: 6.742 6.742 22.175 Å, 90.00 90.00 120.00°
Element x y z (fractional)
Zn 0.333 0.667 0.250
Sb 0.333 0.667 0.136
Cs 0.000 0.000 0.860
Cs 0.667 0.333 0.044
Sb 0.333 0.667 0.364
Zn 0.667 0.333 0.750
Cs 0.667 0.333 0.456
Cs 0.333 0.667 0.750
Cs 0.000 0.000 0.360
Cs 0.333 0.667 0.544
Cs 0.000 0.000 0.140
Sb 0.667 0.333 0.636
Cs 0.000 0.000 0.640
Sb 0.667 0.333 0.864
Cs 0.333 0.667 0.956
Cs 0.667 0.333 0.250

This record from Alexandria via LeMat-Bulk describes a relaxed MgBiSb crystal. The functional is GGA-PBE.

Summary:
Total energy = -3.260 eV per atom
Crystal system = cubic

Cell: 5.029 5.029 5.029 Å, 60.00 60.00 60.00°
Element x y z (fractional)
Mg 0.250 0.250 0.250
Bi 0.000 0.000 0.000
Sb 0.500 0.500 0.500

This record from Alexandria via LeMat-Bulk describes a relaxed AcZn3Ir crystal. The functional is GGA-PBE.

Summary:
Total energy = -3.641 eV per atom
Crystal system = cubic

Cell: 4.845 4.845 4.845 Å, 90.00 90.00 90.00°
Element x y z (fractional)
Zn 0.000 0.500 0.000
Ir 0.000 0.000 0.000
Zn 0.000 0.000 0.500
Ac 0.500 0.500 0.500
Zn 0.500 0.000 0.000

This record from Alexandria via LeMat-Bulk describes a relaxed Cs2SrBeO crystal. The functional is GGA-PBE.

Summary:
Total energy = -2.111 eV per atom
Crystal system = tetragonal

Cell: 5.394 7.717 5.394 Å, 90.00 90.00 90.00°
Element x y z (fractional)
O 0.000 0.000 0.000
Sr 0.500 0.500 0.500
Be 0.000 0.500 0.000
Cs 0.000 0.000 0.500
Cs 0.500 0.000 0.000

This record from Alexandria via LeMat-Bulk describes a relaxed CePaGe2 crystal. The functional is GGA-PBE.

Summary:
Total energy = -6.721 eV per atom
Crystal system = trigonal

Cell: 4.187 4.187 7.276 Å, 90.00 106.73 120.00°
Site moments in Bohr magnetons follow the coordinates.
Element x y z (fractional)
Ce 0.000 0.500 0.500  0.45
Ge 0.507 0.254 0.761  -0.01
Pa 0.000 0.000 0.000  0.02
Ge 0.493 0.746 0.239  -0.01

This record from Alexandria via LeMat-Bulk describes a relaxed MgAl2Ga8 crystal. The functional is GGA-PBE.

Summary:
Total energy = -3.000 eV per atom
Crystal system = monoclinic

Cell: 3.969 8.797 7.459 Å, 53.87 88.23 87.00°
Element x y z (fractional)
Mg 0.500 0.000 0.000
Ga 0.498 0.329 0.000
Ga 0.989 0.044 0.282
Ga 0.011 0.956 0.718
Ga 0.502 0.671 0.000
Ga 0.500 0.764 0.472
Al 0.000 0.383 0.234
Ga 0.011 0.674 0.282
Ga 0.989 0.326 0.718
Ga 0.500 0.236 0.528
Al 0.000 0.617 0.766

This record from Alexandria via LeMat-Bulk describes a relaxed Ca2H4Rh crystal. The functional is GGA-PBE.

Summary:
Total energy = -4.058 eV per atom
Crystal system = orthorhombic

Cell: 4.811 5.401 7.331 Å, 90.00 89.99 90.00°
Element x y z (fractional)
H 0.583 0.965 0.750
H 0.250 0.750 0.481
H 0.583 0.535 0.750
Ca 0.754 0.750 0.499
H 0.750 0.250 0.519
Ca 0.754 0.750 0.001
Ca 0.246 0.250 0.501
Ca 0.246 0.250 0.999
Rh 0.271 0.750 0.250
H 0.417 0.465 0.250
Rh 0.729 0.250 0.750
H 0.417 0.035 0.250
H 0.250 0.750 0.019
H 0.750 0.250 0.981

This record from Alexandria via LeMat-Bulk describes a relaxed Pr4As3 crystal. The functional is GGA-PBE.

Summary:
Total energy = -5.987 eV per atom
Crystal system = cubic

Cell: 7.897 7.897 7.897 Å, 109.47 109.47 109.47°
Element x y z (fractional)
Pr 0.500 0.000 0.867
Pr 0.633 0.633 0.633
As 0.375 0.250 0.625
Pr 0.000 0.367 0.500
As 0.625 0.375 0.250
Pr 0.367 0.500 0.000
As 0.875 0.125 0.750
Pr 0.000 0.867 0.500
As 0.125 0.750 0.875
As 0.750 0.875 0.125
As 0.250 0.625 0.375
Pr 0.867 0.500 0.000
Pr 0.133 0.133 0.133
Pr 0.500 0.000 0.367

This record from Alexandria via LeMat-Bulk describes a relaxed Ac6Sn3Br crystal. The functional is GGA-PBE.

Summary:
Total energy = -4.426 eV per atom
Crystal system = orthorhombic

Cell: 7.817 10.391 10.391 Å, 101.22 90.00 90.00°
Element x y z (fractional)
Ac 0.667 0.289 0.372
Sn 0.497 0.277 0.069
Ac 0.701 0.565 0.097
Ac 0.263 0.005 0.995
Ac 0.701 0.903 0.435
Sn 0.497 0.931 0.723
Br 0.007 0.157 0.843
Ac 0.763 0.995 0.005
Sn 0.997 0.723 0.931
Ac 0.167 0.372 0.289
Sn 0.997 0.069 0.277
Sn 0.349 0.406 0.594
Sn 0.849 0.594 0.406
Ac 0.201 0.097 0.565
Br 0.507 0.843 0.157
Ac 0.167 0.711 0.628
Ac 0.638 0.250 0.750
Ac 0.138 0.750 0.250
Ac 0.667 0.628 0.711
Ac 0.201 0.435 0.903

This record from Alexandria via LeMat-Bulk describes a relaxed CoSe2Br crystal. The functional is GGA-PBE.

Summary:
Total energy = -3.706 eV per atom
Crystal system = tetragonal

Cell: 3.356 3.356 8.092 Å, 90.00 90.00 90.00°
Site moments in Bohr magnetons follow the coordinates.
Element x y z (fractional)
Br 0.000 0.000 0.538  0.01
Se 0.000 0.000 0.843  0.01
Se 0.500 0.500 0.198  0.09
Co 0.500 0.500 0.921  1.35

This record from Alexandria via LeMat-Bulk describes a relaxed SrNiC3 crystal. The functional is GGA-PBE.

Summary:
Total energy = -5.290 eV per atom
Crystal system = cubic

Cell: 3.975 3.975 3.975 Å, 90.00 90.00 90.00°
Element x y z (fractional)
C 0.000 0.000 0.500
Ni 0.000 0.000 0.000
Sr 0.500 0.500 0.500
C 0.500 0.000 0.000
C 0.000 0.500 0.000

This record from Alexandria via LeMat-Bulk describes a relaxed Ac8Mg2Ag crystal. The functional is GGA-PBE.

Summary:
Total energy = -3.546 eV per atom
Crystal system = monoclinic

Cell: 5.803 7.608 10.460 Å, 103.21 106.10 90.00°
Element x y z (fractional)
Ac 0.978 0.230 0.957
Ac 0.656 0.960 0.311
Ac 0.344 0.040 0.689
Mg 0.811 0.266 0.621
Ac 0.407 0.549 0.814
Ac 0.201 0.296 0.402
Ag 0.500 0.000 0.000
Mg 0.189 0.734 0.379
Ac 0.593 0.451 0.186
Ac 0.022 0.770 0.043
Ac 0.799 0.704 0.598